! La6CeDy2 | Alexandria via LeMat-Bulk | PBE-GGA | relaxed; values from VASP
&SYSTEM
  ibrav = 0, nat = 9, ntyp = 3
/
ATOMIC_SPECIES
La 138.91 La.upf
Ce 140.12 Ce.upf
Dy 162.50 Dy.upf
ATOMIC_POSITIONS angstrom
La 0.000 0.000 1.832
La 0.000 0.000 7.657
La 0.000 0.000 19.847
La 0.000 0.000 25.673
La 0.000 2.108 10.882
La 0.000 2.108 16.622
Ce 0.000 0.000 13.752
Dy 0.000 2.108 4.715
Dy 0.000 2.108 22.789
CELL_PARAMETERS angstrom
3.651 0.000 0.000
-1.826 3.162 0.000
0.000 0.000 27.505
! Calculated formation energy, meV per atom: 76
! Space-group type: P-6m2 (187)
! Energy, eV per atom: -4.8905
! Theoretical density, g/cm³: 6.8



! La8CeDy5 | Alexandria via LeMat-Bulk | PBE-GGA | relaxed; values from VASP
&SYSTEM
  ibrav = 0, nat = 14, ntyp = 3
/
ATOMIC_SPECIES
La 138.91 La.upf
Ce 140.12 Ce.upf
Dy 162.50 Dy.upf
ATOMIC_POSITIONS angstrom
La 0.000 0.000 0.000
La -3.543 0.067 5.345
La 1.462 3.045 2.096
La -0.632 3.581 5.210
La 3.132 0.167 1.834
La 2.003 1.205 5.260
La 6.039 2.240 0.647
La 4.389 6.596 2.200
Ce 2.955 4.899 0.361
Dy -1.116 5.361 1.946
Dy -0.843 0.769 3.379
Dy -0.751 -2.083 5.226
Dy 1.568 5.921 4.022
Dy 4.729 3.376 3.665
CELL_PARAMETERS angstrom
8.604 0.000 0.000
-1.536 8.474 0.000
-3.694 -4.068 6.704
! Calculated formation energy, meV per atom: 153
! Space-group type: P1 (1)
! Energy, eV per atom: -4.7297
! Theoretical density, g/cm³: 7.0



! La6CeDy8 | Alexandria via LeMat-Bulk | PBE-GGA | relaxed; values from VASP
&SYSTEM
  ibrav = 0, nat = 15, ntyp = 3
/
ATOMIC_SPECIES
La 138.91 La.upf
Ce 140.12 Ce.upf
Dy 162.50 Dy.upf
ATOMIC_POSITIONS angstrom
La -3.164 -1.086 9.639
La -0.641 -3.283 11.561
La -2.522 2.197 11.561
La 2.522 -2.197 9.639
La 0.641 3.283 9.639
La 3.164 1.086 11.561
Ce 0.000 0.000 10.600
Dy 0.000 0.000 1.631
Dy -0.304 -1.994 7.667
Dy -1.575 1.261 7.667
Dy -1.879 -0.734 13.534
Dy 1.879 0.734 7.667
Dy 1.575 -1.261 13.534
Dy 0.304 1.994 13.534
Dy 0.000 0.000 19.569
CELL_PARAMETERS angstrom
4.559 2.632 7.067
-4.559 2.632 7.067
0.000 -5.265 7.067
! Calculated formation energy, meV per atom: 119
! Space-group type: R-3 (148)
! Energy, eV per atom: -4.7021
! Theoretical density, g/cm³: 7.4



! La6CeDy | Alexandria via LeMat-Bulk | PBE-GGA | relaxed; values from VASP
&SYSTEM
  ibrav = 0, nat = 16, ntyp = 3
/
ATOMIC_SPECIES
La 138.91 La.upf
Ce 140.12 Ce.upf
Dy 162.50 Dy.upf
ATOMIC_POSITIONS angstrom
La 0.435 0.000 1.738
La 1.514 3.340 1.739
La 1.514 8.531 1.739
La 1.919 2.595 5.108
La 1.919 9.276 5.108
La 2.998 5.935 5.110
La 3.869 5.935 1.738
La 4.948 2.595 1.739
La 4.948 9.276 1.739
La 5.353 3.340 5.108
La 5.353 8.531 5.108
La 6.432 0.000 5.110
Ce -0.001 5.935 3.424
Ce 3.433 0.000 3.424
Dy 0.000 5.935 0.000
Dy 3.434 0.000 0.000
CELL_PARAMETERS angstrom
6.868 0.000 0.000
0.000 11.871 0.000
-0.002 0.000 6.847
! Calculated formation energy, meV per atom: 147
! Space-group type: C2/m (12)
! Energy, eV per atom: -4.8656
! Theoretical density, g/cm³: 6.8



! La2CeDy3 | Alexandria via LeMat-Bulk | PBE-GGA | relaxed; values from VASP
&SYSTEM
  ibrav = 0, nat = 12, ntyp = 3
/
ATOMIC_SPECIES
La 138.91 La.upf
Ce 140.12 Ce.upf
Dy 162.50 Dy.upf
ATOMIC_POSITIONS angstrom
La 2.805 0.055 0.578
La 2.071 -0.055 4.002
La 13.342 0.055 2.846
La 12.608 -0.055 6.271
Ce 8.073 1.810 1.712
Ce 7.340 -1.810 5.136
Dy 7.340 1.931 5.136
Dy 5.532 0.039 2.955
Dy 4.798 -0.039 6.379
Dy 10.614 0.039 0.470
Dy 9.881 -0.039 3.894
Dy 8.073 -1.931 1.712
CELL_PARAMETERS angstrom
8.440 -3.488 0.000
8.440 3.488 0.000
-1.467 0.000 6.849
! Calculated formation energy, meV per atom: 162
! Space-group type: C2/c (15)
! Energy, eV per atom: -4.7701
! Theoretical density, g/cm³: 7.5



! La6CeDy5 | Alexandria via LeMat-Bulk | PBE-GGA | relaxed; values from VASP
&SYSTEM
  ibrav = 0, nat = 12, ntyp = 3
/
ATOMIC_SPECIES
La 138.91 La.upf
Ce 140.12 Ce.upf
Dy 162.50 Dy.upf
ATOMIC_POSITIONS angstrom
La 5.908 1.870 2.077
La 8.913 1.890 0.000
La 11.745 1.870 4.179
La 5.908 -1.870 2.077
La 8.913 -1.890 0.000
La 11.745 -1.870 4.179
Ce -0.086 0.000 3.128
Dy 2.941 0.000 1.065
Dy 5.805 0.000 5.200
Dy 8.826 0.000 3.128
Dy 11.848 0.000 1.056
Dy 14.712 0.000 5.191
CELL_PARAMETERS angstrom
8.913 -3.677 0.000
8.913 3.677 0.000
-0.173 0.000 6.256
! Calculated formation energy, meV per atom: 43
! Space-group type: C2/m (12)
! Energy, eV per atom: -4.8330
! Theoretical density, g/cm³: 7.2



! La4CeDy2 | Alexandria via LeMat-Bulk | PBE-GGA | relaxed; values from VASP
&SYSTEM
  ibrav = 0, nat = 14, ntyp = 3
/
ATOMIC_SPECIES
La 138.91 La.upf
Ce 140.12 Ce.upf
Dy 162.50 Dy.upf
ATOMIC_POSITIONS angstrom
La 1.580 2.425 3.885
La 2.649 5.834 3.841
La 1.614 0.469 0.716
La 4.791 5.196 8.541
La 4.746 1.474 2.361
La 7.923 6.201 10.187
La 6.888 0.835 7.061
La 7.957 4.245 7.017
Ce 3.741 1.760 8.550
Ce 5.796 4.909 2.352
Dy 2.634 3.943 0.740
Dy 3.718 -0.146 5.451
Dy 4.769 3.335 5.451
Dy 6.903 2.726 10.162
CELL_PARAMETERS angstrom
6.318 0.000 0.000
2.100 6.961 0.000
1.119 -0.291 10.902
! Calculated formation energy, meV per atom: 56
! Space-group type: P-1 (2)
! Energy, eV per atom: -4.9224
! Theoretical density, g/cm³: 7.1



! LiLaCeDy | Alexandria via LeMat-Bulk | PBE-GGA | relaxed; values from VASP
&SYSTEM
  ibrav = 0, nat = 16, ntyp = 4
/
ATOMIC_SPECIES
Li 6.94 Li.upf
La 138.91 La.upf
Ce 140.12 Ce.upf
Dy 162.50 Dy.upf
ATOMIC_POSITIONS angstrom
Li 0.000 0.000 0.000
Li 0.000 3.880 3.880
Li 3.880 0.000 3.880
Li 3.880 3.880 0.000
La 1.940 1.940 1.940
La 1.940 5.821 5.821
La 5.821 1.940 5.821
La 5.821 5.821 1.940
Ce 0.000 0.000 3.880
Ce 0.000 3.880 0.000
Ce 3.880 0.000 0.000
Ce 3.880 3.880 3.880
Dy 1.940 1.940 5.821
Dy 1.940 5.821 1.940
Dy 5.821 1.940 1.940
Dy 5.821 5.821 5.821
CELL_PARAMETERS angstrom
7.761 0.000 0.000
0.000 7.761 0.000
0.000 0.000 7.761
! Calculated formation energy, meV per atom: 270
! Space-group type: F-43m (216)
! Energy, eV per atom: -4.0744
! Theoretical density, g/cm³: 6.4



! LaCeDyLu | Alexandria via LeMat-Bulk | PBE-GGA | relaxed; values from VASP
&SYSTEM
  ibrav = 0, nat = 16, ntyp = 4
/
ATOMIC_SPECIES
La 138.91 La.upf
Ce 140.12 Ce.upf
Dy 162.50 Dy.upf
Lu 174.97 Lu.upf
ATOMIC_POSITIONS angstrom
La 0.000 0.000 0.000
La 0.000 4.025 4.025
La 4.025 0.000 4.025
La 4.025 4.025 0.000
Ce 0.000 0.000 4.025
Ce 0.000 4.025 0.000
Ce 4.025 0.000 0.000
Ce 4.025 4.025 4.025
Dy 2.013 2.013 2.013
Dy 2.013 6.038 6.038
Dy 6.038 2.013 6.038
Dy 6.038 6.038 2.013
Lu 2.013 2.013 6.038
Lu 2.013 6.038 2.013
Lu 6.038 2.013 2.013
Lu 6.038 6.038 6.038
CELL_PARAMETERS angstrom
8.051 0.000 0.000
0.000 8.051 0.000
0.000 0.000 8.051
! Calculated formation energy, meV per atom: 145
! Space-group type: F-43m (216)
! Energy, eV per atom: -4.8508
! Theoretical density, g/cm³: 7.8



! LaCeDyMg | Alexandria via LeMat-Bulk | PBE-GGA | relaxed; values from VASP
&SYSTEM
  ibrav = 0, nat = 16, ntyp = 4
/
ATOMIC_SPECIES
La 138.91 La.upf
Ce 140.12 Ce.upf
Dy 162.50 Dy.upf
Mg 24.30 Mg.upf
ATOMIC_POSITIONS angstrom
La 0.000 0.000 0.000
La 0.000 3.945 3.945
La 3.945 0.000 3.945
La 3.945 3.945 0.000
Ce 1.972 1.972 5.917
Ce 1.972 5.917 1.972
Ce 5.917 1.972 1.972
Ce 5.917 5.917 5.917
Dy 0.000 0.000 3.945
Dy 0.000 3.945 0.000
Dy 3.945 0.000 0.000
Dy 3.945 3.945 3.945
Mg 1.972 1.972 1.972
Mg 1.972 5.917 5.917
Mg 5.917 1.972 5.917
Mg 5.917 5.917 1.972
CELL_PARAMETERS angstrom
7.890 0.000 0.000
0.000 7.890 0.000
0.000 0.000 7.890
! Calculated formation energy, meV per atom: 141
! Space-group type: F-43m (216)
! Energy, eV per atom: -4.1234
! Theoretical density, g/cm³: 6.3



! LaCe2DyN4 | Alexandria via LeMat-Bulk | PBE-GGA | relaxed; values from VASP
&SYSTEM
  ibrav = 0, nat = 8, ntyp = 4
/
ATOMIC_SPECIES
La 138.91 La.upf
Ce 140.12 Ce.upf
Dy 162.50 Dy.upf
N 14.01 N.upf
ATOMIC_POSITIONS angstrom
La 0.000 0.000 0.000
Ce 2.063 0.000 2.940
Ce 3.100 1.792 0.000
Dy -1.038 1.792 2.940
N 0.044 0.000 4.364
N 1.090 1.792 1.564
N 3.035 1.792 4.316
N 4.081 0.000 1.516
CELL_PARAMETERS angstrom
6.201 0.000 0.000
0.000 3.585 0.000
-2.075 0.000 5.880
! Space-group type: P2/m (10)
! E_form (uncorrected), eV per atom: -1.49
! Energy, eV per atom: -8.3282
! Theoretical density, g/cm³: 8.1



! LaCeDy2N4 | Alexandria via LeMat-Bulk | PBE-GGA | relaxed; values from VASP
&SYSTEM
  ibrav = 0, nat = 8, ntyp = 4
/
ATOMIC_SPECIES
La 138.91 La.upf
Ce 140.12 Ce.upf
Dy 162.50 Dy.upf
N 14.01 N.upf
ATOMIC_POSITIONS angstrom
La 0.000 0.000 0.000
Ce -1.018 1.781 2.914
Dy 2.068 0.000 2.914
Dy 3.086 1.781 0.000
N 0.067 0.000 4.336
N 1.061 1.781 1.539
N 3.075 1.781 4.288
N 4.070 0.000 1.491
CELL_PARAMETERS angstrom
6.172 0.000 0.000
0.000 3.562 0.000
-2.036 0.000 5.827
! Space-group type: P2/m (10)
! E_form (uncorrected), eV per atom: -1.53
! Energy, eV per atom: -8.2009
! Theoretical density, g/cm³: 8.6